Material: Np2CuF11
Method: DFT, PBE
State: relaxed

Cell and atoms, written as POSCAR:
```
Np2CuF11
1.0
-4.3837 4.9258 5.4000
4.3837 -4.9258 5.4000
4.3837 4.9258 -5.4000
Np Cu F
4 2 22
direct
0.2000 0.1271 0.3271
0.3000 0.6271 0.9271
0.7000 0.3729 0.0729
0.8000 0.8729 0.6729
0.2500 0.7500 0.5000
0.7500 0.2500 0.5000
0.0000 0.0000 0.0000
0.0157 0.4332 0.7185
0.0487 0.9140 0.6813
0.2104 0.8516 0.0621
0.2147 0.9332 0.4175
0.2328 0.3674 0.3187
0.2672 0.5860 0.1347
0.2853 0.7028 0.7185
0.2896 0.3516 0.6412
0.4513 0.1326 0.8653
0.4843 0.2028 0.4175
0.5000 0.5000 0.0000
0.5157 0.7972 0.5825
0.5487 0.8674 0.1347
0.7104 0.6484 0.3588
0.7147 0.2972 0.2815
0.7328 0.4140 0.8653
0.7672 0.6326 0.6813
0.7853 0.0668 0.5825
0.7896 0.1484 0.9379
0.9513 0.0860 0.3187
0.9843 0.5668 0.2815
```

Summary:
V = 233.21 Å³/f.u.
space group = No. 72
E_form (uncorrected) = -2.947 eV/atom